DFT (PBE) results for a relaxed BaMn2Zn crystal.

Values from the calculation:
**Space group**: No. 71
**Magnetic moment**: 1.939 μB per atom
**Formation energy from the elements**: 2.51 eV/f.u.
**DOS at the Fermi energy**: 3.96 states/eV/cell

Cell lengths 6.044, 6.044, 6.044 Å; angles 148.39, 125.96, 63.97 degrees
Element x y z (fractional)
Ba 0.000 0.000 0.000
Mn 0.293 0.793 0.500
Mn 0.707 0.207 0.500
Zn 0.500 0.500 0.000